[1]
# PBE Tb2YPuP4, optimized geometry
# energy relative to the elements = -1492 meV per atom
data_Tb2YPuP4
_chemical_formula_sum 'Tb2 Y1 Pu1 P4'
_cell_length_a 6.941
_cell_length_b 4.021
_cell_length_c 6.943
_cell_angle_alpha 90.00
_cell_angle_beta 109.49
_cell_angle_gamma 90.00
_symmetry_space_group_name_H-M 'P 1 2/m 1'
_symmetry_Int_Tables_number 10
loop_
_symmetry_equiv_pos_as_xyz
'x,y,z'
'-x,-y,-z'
'-x,y,-z'
'x,-y,z'
loop_
_atom_site_label
_atom_site_type_symbol
_atom_site_fract_x
_atom_site_fract_y
_atom_site_fract_z
_atom_site_occupancy
Tb1 Tb 0.000 0.000 0.000 1
Tb2 Tb 0.500 0.500 0.000 1
Y1 Y 0.000 0.500 0.500 1
Pu1 Pu 0.500 0.000 0.500 1
P1 P 0.252 0.000 0.747 1
P2 P 0.254 0.500 0.255 1

***

[2]
# PBE Sb3PdO, optimized geometry
# energy above the most stable polymorph in this dataset = 72.6 kJ/mol of atoms
data_Sb3PdO
_chemical_formula_sum 'Sb3 Pd1 O1'
_cell_length_a 5.194
_cell_length_b 5.194
_cell_length_c 5.194
_cell_angle_alpha 90.00
_cell_angle_beta 90.00
_cell_angle_gamma 90.00
_symmetry_space_group_name_H-M 'P m -3 m'
_symmetry_Int_Tables_number 221
_symmetry_space_group_name_Hall '-P 4 2 3'
loop_
_atom_site_label
_atom_site_type_symbol
_atom_site_fract_x
_atom_site_fract_y
_atom_site_fract_z
_atom_site_occupancy
Sb1 Sb 0.000 0.000 0.500 1
Pd1 Pd 0.000 0.000 0.000 1
O1 O 0.500 0.500 0.500 1

***

[3]
# PBE CrFe2HOs, optimized geometry
# energy above the most stable polymorph in this dataset = 4.2 kJ/mol of atoms
data_CrFe2HOs
_chemical_formula_sum 'Cr1 Fe2 H1 Os1'
_cell_length_a 3.684
_cell_length_b 3.684
_cell_length_c 3.787
_cell_angle_alpha 90.00
_cell_angle_beta 90.00
_cell_angle_gamma 90.00
_symmetry_space_group_name_H-M 'P 4/m m m'
_symmetry_Int_Tables_number 123
_symmetry_space_group_name_Hall '-P 4 2'
loop_
_atom_site_label
_atom_site_type_symbol
_atom_site_fract_x
_atom_site_fract_y
_atom_site_fract_z
_atom_site_occupancy
Cr1 Cr 0.000 0.000 0.000 1
Fe1 Fe 0.000 0.500 0.500 1
H1 H 0.500 0.500 0.500 1
Os1 Os 0.500 0.500 0.000 1

***

[4]
DFT (PBE) results for an optimized crystal structure of PaSiPt.

```
data_PaSiPt
_chemical_formula_sum 'Pa1 Si1 Pt1'
_cell_length_a 4.2314
_cell_length_b 4.2314
_cell_length_c 3.7903
_cell_angle_alpha 90.00
_cell_angle_beta 90.00
_cell_angle_gamma 120.00
_symmetry_space_group_name_H-M 'P 3 m 1'
_symmetry_Int_Tables_number 156
loop_
_symmetry_equiv_pos_as_xyz
'x,y,z'
'-y,x-y,z'
'-x+y,-x,z'
'-y,-x,z'
'-x+y,y,z'
'x,x-y,z'
loop_
_atom_site_label
_atom_site_type_symbol
_atom_site_fract_x
_atom_site_fract_y
_atom_site_fract_z
_atom_site_occupancy
Pa1 Pa 0.0000 0.0000 0.0000 1
Si1 Si 0.3333 0.6667 0.4765 1
Pt1 Pt 0.6667 0.3333 0.5318 1
```

***

[5]
# PBE HgH2Pb2, optimized geometry
# energy above the most stable polymorph in this dataset = 1.2 kJ/mol of atoms
data_HgH2Pb2
_chemical_formula_sum 'Hg1 H2 Pb2'
_cell_length_a 3.9023
_cell_length_b 3.9023
_cell_length_c 7.7990
_cell_angle_alpha 90.00
_cell_angle_beta 90.00
_cell_angle_gamma 120.00
_symmetry_space_group_name_H-M 'P -3 m 1'
_symmetry_Int_Tables_number 164
_symmetry_space_group_name_Hall '-P 3 2"'
loop_
_atom_site_label
_atom_site_type_symbol
_atom_site_fract_x
_atom_site_fract_y
_atom_site_fract_z
_atom_site_occupancy
Hg1 Hg 0.0000 0.0000 0.0000 1
H1 H 0.3333 0.6667 0.5944 1
Pb1 Pb 0.3333 0.6667 0.3038 1

***

[6]
# PBE ThPa2Al, optimized geometry
# energy above the most stable polymorph in this dataset = 0.0 kJ/mol of atoms
# energy relative to the elements = -29 meV per atom
data_ThPa2Al
_chemical_formula_sum 'Th1 Pa2 Al1'
_cell_length_a 4.510
_cell_length_b 4.510
_cell_length_c 4.900
_cell_angle_alpha 90.00
_cell_angle_beta 90.00
_cell_angle_gamma 90.00
_symmetry_space_group_name_H-M 'P 4/m m m'
_symmetry_Int_Tables_number 123
_symmetry_space_group_name_Hall '-P 4 2'
loop_
_atom_site_label
_atom_site_type_symbol
_atom_site_fract_x
_atom_site_fract_y
_atom_site_fract_z
_atom_site_occupancy
Th1 Th 0.000 0.000 0.000 1
Pa1 Pa 0.000 0.500 0.500 1
Al1 Al 0.500 0.500 0.000 1

***

[7]
# PBE Ac3Tb2Sm2, optimized geometry
# energy relative to the elements = 61 meV per atom
data_Ac3Tb2Sm2
_chemical_formula_sum 'Ac6 Tb4 Sm4'
_cell_length_a 5.636
_cell_length_b 25.152
_cell_length_c 3.738
_cell_angle_alpha 90.00
_cell_angle_beta 90.00
_cell_angle_gamma 90.00
_symmetry_space_group_name_H-M 'C m m m'
_symmetry_Int_Tables_number 65
_symmetry_space_group_name_Hall '-C 2 2'
loop_
_atom_site_label
_atom_site_type_symbol
_atom_site_fract_x
_atom_site_fract_y
_atom_site_fract_z
_atom_site_occupancy
Ac1 Ac 0.000 0.000 0.000 1
Ac2 Ac 0.000 0.153 0.000 1
Tb1 Tb 0.000 0.285 0.500 1
Sm1 Sm 0.000 0.427 0.500 1

***

[8]
# PBE ZrScAsBr2, optimized geometry
# energy above the most stable polymorph in this dataset = 0.0 kJ/mol of atoms
data_ZrScAsBr2
_chemical_formula_sum 'Zr1 Sc1 As1 Br2'
_cell_length_a 5.204
_cell_length_b 5.204
_cell_length_c 5.378
_cell_angle_alpha 90.00
_cell_angle_beta 90.00
_cell_angle_gamma 90.00
_symmetry_space_group_name_H-M 'P 4/m m m'
_symmetry_Int_Tables_number 123
_symmetry_space_group_name_Hall '-P 4 2'
loop_
_atom_site_label
_atom_site_type_symbol
_atom_site_fract_x
_atom_site_fract_y
_atom_site_fract_z
_atom_site_occupancy
Zr1 Zr 0.000 0.000 0.000 1
Sc1 Sc 0.500 0.500 0.500 1
As1 As 0.000 0.000 0.500 1
Br1 Br 0.000 0.500 0.000 1

***

[9]
DFT (PBE) results for an optimized crystal structure of TbTmPu2Se5.

```
data_TbTmPu2Se5
_chemical_formula_sum 'Tb1 Tm1 Pu2 Se5'
_cell_length_a 5.082
_cell_length_b 5.082
_cell_length_c 10.758
_cell_angle_alpha 90.00
_cell_angle_beta 90.00
_cell_angle_gamma 90.00
_symmetry_space_group_name_H-M 'P 4/m m m'
_symmetry_Int_Tables_number 123
_symmetry_space_group_name_Hall '-P 4 2'
loop_
_atom_site_label
_atom_site_type_symbol
_atom_site_fract_x
_atom_site_fract_y
_atom_site_fract_z
_atom_site_occupancy
Tb1 Tb 0.000 0.000 0.000 1
Tm1 Tm 0.000 0.000 0.500 1
Pu1 Pu 0.500 0.500 0.307 1
Se1 Se 0.000 0.000 0.246 1
Se2 Se 0.000 0.500 0.500 1
Se3 Se 0.500 0.500 0.000 1
```

***

[10]
# PBE Th2MgZn6, optimized geometry
# energy above the most stable polymorph in this dataset = 0.0 kJ/mol of atoms
# energy relative to the elements = -228 meV per atom
data_Th2MgZn6
_chemical_formula_sum 'Th2 Mg1 Zn6'
_cell_length_a 5.9728
_cell_length_b 5.9728
_cell_length_c 5.8230
_cell_angle_alpha 90.00
_cell_angle_beta 90.00
_cell_angle_gamma 120.00
_symmetry_space_group_name_H-M 'P -3 m 1'
_symmetry_Int_Tables_number 164
_symmetry_space_group_name_Hall '-P 3 2"'
loop_
_atom_site_label
_atom_site_type_symbol
_atom_site_fract_x
_atom_site_fract_y
_atom_site_fract_z
_atom_site_occupancy
Th1 Th 0.3333 0.6667 0.3459 1
Mg1 Mg 0.0000 0.0000 0.5000 1
Zn1 Zn 0.1817 0.3634 0.8438 1

***

[11]
# PBE Sm3B2Rh9Pb, optimized geometry
# energy relative to the elements = -500 meV per atom
data_Sm3B2Rh9Pb
_chemical_formula_sum 'Sm3 B2 Rh9 Pb1'
_cell_length_a 5.8841
_cell_length_b 5.8841
_cell_length_c 9.0809
_cell_angle_alpha 90.00
_cell_angle_beta 90.00
_cell_angle_gamma 120.00
_symmetry_space_group_name_H-M 'P -3 m 1'
_symmetry_Int_Tables_number 164
_symmetry_space_group_name_Hall '-P 3 2"'
loop_
_atom_site_label
_atom_site_type_symbol
_atom_site_fract_x
_atom_site_fract_y
_atom_site_fract_z
_atom_site_occupancy
Sm1 Sm 0.0000 0.0000 0.0000 1
Sm2 Sm 0.3333 0.6667 0.6966 1
B1 B 0.3333 0.6667 0.1426 1
Rh1 Rh 0.0000 0.5000 0.0000 1
Rh2 Rh 0.1626 0.3252 0.2616 1
Pb1 Pb 0.0000 0.0000 0.5000 1

***

[12]
DFT (PBE) results for an optimized crystal structure of ZrTePbO5.

```
data_ZrTePbO5
_chemical_formula_sum 'Zr4 Te4 Pb4 O20'
_cell_length_a 7.830
_cell_length_b 9.505
_cell_length_c 8.026
_cell_angle_alpha 90.00
_cell_angle_beta 115.37
_cell_angle_gamma 90.00
_symmetry_space_group_name_H-M 'C 1 2/c 1'
_symmetry_Int_Tables_number 15
loop_
_symmetry_equiv_pos_as_xyz
'x,y,z'
'-x,-y,-z'
'-x,y,-z+1/2'
'x,-y,z+1/2'
'x+1/2,y+1/2,z'
'-x+1/2,-y+1/2,-z'
'-x+1/2,y+1/2,-z+1/2'
'x+1/2,-y+1/2,z+1/2'
loop_
_atom_site_label
_atom_site_type_symbol
_atom_site_fract_x
_atom_site_fract_y
_atom_site_fract_z
_atom_site_occupancy
Zr1 Zr 0.250 0.250 0.000 1
Te1 Te 0.000 0.037 0.250 1
Pb1 Pb 0.000 0.455 0.250 1
O1 O 0.000 0.285 0.750 1
O2 O 0.063 0.175 0.112 1
O3 O 0.218 0.463 0.070 1
```

***

In the order shown, the computed calculated total energy values come out to -63.6; -18.8; -40.7; -24.0; -12.8; -30.3; -61.2; -24.4; -65.8; -26.1; -104.9; -219.2 eV for the cell shown.